Entry from OQMD via LeMat-Bulk: PrBiS2O after structural relaxation (PBE).

Cell and atoms, written as CIF:
```
data_PrBiS2O
_chemical_formula_sum 'Pr2 Bi2 S4 O2'
_cell_length_a 4.018
_cell_length_b 4.018
_cell_length_c 14.184
_cell_angle_alpha 90.00
_cell_angle_beta 90.00
_cell_angle_gamma 90.00
_space_group_name_H-M_alt 'P 4/n m m'
_space_group_IT_number 129
loop_
_space_group_symop_operation_xyz
'x,y,z'
'-x,-y,-z'
'-y+1/2,x,z'
'y+1/2,-x,-z'
'-x+1/2,-y+1/2,z'
'x+1/2,y+1/2,-z'
'y,-x+1/2,z'
'-y,x+1/2,-z'
'x+1/2,-y,-z'
'-x+1/2,y,z'
'-y,-x,-z'
'y,x,z'
'-x,y+1/2,-z'
'x,-y+1/2,z'
'y+1/2,x+1/2,-z'
'-y+1/2,-x+1/2,z'
loop_
_atom_site_label
_atom_site_type_symbol
_atom_site_fract_x
_atom_site_fract_y
_atom_site_fract_z
Pr1 Pr 0.250 0.250 0.087
Bi1 Bi 0.250 0.250 0.632
S1 S 0.250 0.250 0.394
S2 S 0.250 0.250 0.810
O1 O 0.250 0.750 0.000
```

Entry from OQMD via LeMat-Bulk: SmCdPO after structural relaxation (PBE).

Cell and atoms, written as CIF:
```
data_SmCdPO
_chemical_formula_sum 'Sm2 Cd2 P2 O2'
_cell_length_a 4.388
_cell_length_b 6.702
_cell_length_c 5.932
_cell_angle_alpha 90.00
_cell_angle_beta 90.00
_cell_angle_gamma 90.00
_space_group_name_H-M_alt 'P m c 21'
_space_group_IT_number 26
loop_
_space_group_symop_operation_xyz
'x,y,z'
'-x,-y,z+1/2'
'-x,y,z'
'x,-y,z+1/2'
loop_
_atom_site_label
_atom_site_type_symbol
_atom_site_fract_x
_atom_site_fract_y
_atom_site_fract_z
Sm1 Sm 0.000 0.220 0.000
Cd1 Cd 0.500 0.355 0.574
P1 P 0.000 0.201 0.492
O1 O 0.500 0.317 0.981
```

Entry from OQMD via LeMat-Bulk: ZrTc after structural relaxation (PBE).

Cell and atoms, written as CIF:
```
data_ZrTc
_chemical_formula_sum 'Zr6 Tc6'
_cell_length_a 6.541
_cell_length_b 4.778
_cell_length_c 7.043
_cell_angle_alpha 90.00
_cell_angle_beta 103.41
_cell_angle_gamma 90.00
_space_group_name_H-M_alt 'P 1 21/m 1'
_space_group_IT_number 11
loop_
_space_group_symop_operation_xyz
'x,y,z'
'-x,-y,-z'
'-x,y+1/2,-z'
'x,-y+1/2,z'
loop_
_atom_site_label
_atom_site_type_symbol
_atom_site_fract_x
_atom_site_fract_y
_atom_site_fract_z
Zr1 Zr 0.039 0.250 0.152
Zr2 Zr 0.128 0.750 0.487
Zr3 Zr 0.385 0.250 0.517
Tc1 Tc 0.221 0.250 0.844
Tc2 Tc 0.300 0.750 0.157
Tc3 Tc 0.461 0.750 0.845
```

## Properties
**Formation energy from the elements**: -82 meV per atom

Entry from OQMD via LeMat-Bulk: Nb4CdCoN2 after structural relaxation (PBE).

Cell and atoms, written as CIF:
```
data_Nb4CdCoN2
_chemical_formula_sum 'Nb4 Cd1 Co1 N2'
_cell_length_a 3.1265
_cell_length_b 3.1265
_cell_length_c 13.6531
_cell_angle_alpha 90.00
_cell_angle_beta 90.00
_cell_angle_gamma 120.00
_space_group_name_H-M_alt 'P -6 m 2'
_space_group_IT_number 187
_space_group_name_Hall 'P -6 2'
loop_
_atom_site_label
_atom_site_type_symbol
_atom_site_fract_x
_atom_site_fract_y
_atom_site_fract_z
Nb1 Nb 0.0000 0.0000 0.1422
Nb2 Nb 0.6667 0.3333 0.3195
Cd1 Cd 0.0000 0.0000 0.5000
Co1 Co 0.6667 0.3333 0.0000
N1 N 0.3333 0.6667 0.2325
```

Entry from OQMD via LeMat-Bulk: Li4Ag2SnSb after structural relaxation (PBE).

Cell and atoms, written as CIF:
```
data_Li4Ag2SnSb
_chemical_formula_sum 'Li4 Ag2 Sn1 Sb1'
_cell_length_a 4.622
_cell_length_b 4.622
_cell_length_c 6.605
_cell_angle_alpha 90.00
_cell_angle_beta 90.00
_cell_angle_gamma 90.00
_space_group_name_H-M_alt 'P -4 m 2'
_space_group_IT_number 115
loop_
_space_group_symop_operation_xyz
'x,y,z'
'y,-x,-z'
'-x,-y,z'
'-y,x,-z'
'-x,y,z'
'-y,-x,-z'
'x,-y,z'
'y,x,-z'
loop_
_atom_site_label
_atom_site_type_symbol
_atom_site_fract_x
_atom_site_fract_y
_atom_site_fract_z
Li1 Li 0.000 0.000 0.000
Li2 Li 0.000 0.500 0.249
Li3 Li 0.500 0.500 0.500
Ag1 Ag 0.000 0.500 0.755
Sn1 Sn 0.500 0.500 0.000
Sb1 Sb 0.000 0.000 0.500
```

Entry from OQMD via LeMat-Bulk: BaFeOs2 after structural relaxation (PBE).

Cell and atoms, written as CIF:
```
data_BaFeOs2
_chemical_formula_sum 'Ba4 Fe4 Os8'
_cell_length_a 6.642
_cell_length_b 6.642
_cell_length_c 6.642
_cell_angle_alpha 90.00
_cell_angle_beta 90.00
_cell_angle_gamma 90.00
_space_group_name_H-M_alt 'F -4 3 m'
_space_group_IT_number 216
_space_group_name_Hall 'F -4 2 3'
loop_
_atom_site_label
_atom_site_type_symbol
_atom_site_fract_x
_atom_site_fract_y
_atom_site_fract_z
Ba1 Ba 0.000 0.000 0.000
Fe1 Fe 0.250 0.250 0.250
Os1 Os 0.000 0.000 0.500
Os2 Os 0.250 0.250 0.750
```

Entry from OQMD via LeMat-Bulk: YLuPb4 after structural relaxation (PBE).

Cell and atoms, written as CIF:
```
data_YLuPb4
_chemical_formula_sum 'Y2 Lu2 Pb8'
_cell_length_a 3.307
_cell_length_b 6.291
_cell_length_c 19.209
_cell_angle_alpha 90.00
_cell_angle_beta 90.00
_cell_angle_gamma 90.00
_space_group_name_H-M_alt 'A m m 2'
_space_group_IT_number 38
loop_
_space_group_symop_operation_xyz
'x,y,z'
'-x,-y,z'
'-x,y,z'
'x,-y,z'
'x,y+1/2,z+1/2'
'-x,-y+1/2,z+1/2'
'-x,y+1/2,z+1/2'
'x,-y+1/2,z+1/2'
loop_
_atom_site_label
_atom_site_type_symbol
_atom_site_fract_x
_atom_site_fract_y
_atom_site_fract_z
Y1 Y 0.000 0.000 0.000
Lu1 Lu 0.000 0.000 0.181
Pb1 Pb 0.000 0.000 0.345
Pb2 Pb 0.000 0.000 0.508
Pb3 Pb 0.000 0.000 0.675
Pb4 Pb 0.000 0.000 0.835
```

Entry from OQMD via LeMat-Bulk: LaPrPBr2 after structural relaxation (PBE).

Cell and atoms, written as CIF:
```
data_LaPrPBr2
_chemical_formula_sum 'La1 Pr1 P1 Br2'
_cell_length_a 4.2281
_cell_length_b 4.2281
_cell_length_c 10.9225
_cell_angle_alpha 90.00
_cell_angle_beta 90.00
_cell_angle_gamma 120.00
_space_group_name_H-M_alt 'P 3 m 1'
_space_group_IT_number 156
loop_
_space_group_symop_operation_xyz
'x,y,z'
'-y,x-y,z'
'-x+y,-x,z'
'-y,-x,z'
'-x+y,y,z'
'x,x-y,z'
loop_
_atom_site_label
_atom_site_type_symbol
_atom_site_fract_x
_atom_site_fract_y
_atom_site_fract_z
La1 La 0.0000 0.0000 0.0000
Pr1 Pr 0.3333 0.6667 0.7025
P1 P 0.6667 0.3333 0.8499
Br1 Br 0.0000 0.0000 0.5316
Br2 Br 0.3333 0.6667 0.1732
```

Total energy, record by record: -6.084; -5.462; -9.536; -8.581; -3.092; -6.795; -4.067; -5.493 eV/atom